Record 1
Density functional theory data (GGA-PBE) for a geometry-optimized YHo4Cd3 structure. Values from VASP.

volume	220	Å³ per cell
spin magnetization	0.2	μB/cell
space-group type	R-3m, No. 166
calculated total energy	-3.61	eV per atom

Cell and atoms, written as Quantum ESPRESSO input:
```
&SYSTEM
  ibrav = 0, nat = 8, ntyp = 3
/
ATOMIC_SPECIES
Y 88.91 Y.upf
Ho 164.93 Ho.upf
Cd 112.41 Cd.upf
CELL_PARAMETERS angstrom
2.6559 1.5334 8.9994
-2.6559 1.5334 8.9994
0.0000 -3.0668 8.9994
ATOMIC_POSITIONS crystal
Y 0.0000 0.0000 0.0000
Ho 0.1299 0.1299 0.1299
Ho 0.3870 0.3870 0.3870
Ho 0.6130 0.6130 0.6130
Ho 0.8701 0.8701 0.8701
Cd 0.2607 0.2607 0.2607
Cd 0.5000 0.5000 0.5000
Cd 0.7393 0.7393 0.7393
```

=====

Record 2
Density functional theory data (GGA-PBE) for a geometry-optimized Rb2MgBe structure. Values from VASP.

volume	438	Å³ per cell
spin magnetization	0.0	μB/cell
space-group type	I-42d, No. 122
calculated total energy	-1.22	eV per atom

Cell and atoms, written as Quantum ESPRESSO input:
```
&SYSTEM
  ibrav = 0, nat = 8, ntyp = 3
/
ATOMIC_SPECIES
Rb 85.47 Rb.upf
Mg 24.30 Mg.upf
Be 9.01 Be.upf
CELL_PARAMETERS angstrom
-6.5939 6.5939 2.5176
6.5939 -6.5939 2.5176
6.5939 6.5939 -2.5176
ATOMIC_POSITIONS crystal
Rb 0.3750 0.1970 0.3220
Rb 0.8030 0.1250 0.1780
Rb 0.8750 0.0530 0.6780
Rb 0.9470 0.6250 0.8220
Mg 0.2500 0.7500 0.5000
Mg 0.5000 0.5000 0.0000
Be 0.0000 0.0000 0.0000
Be 0.7500 0.2500 0.5000
```

=====

Record 3
Density functional theory data (GGA-PBE) for a geometry-optimized CaRhN structure. Values from VASP.

volume	46	Å³ per cell
spin magnetization	0.0	μB/cell
space-group type	P3m1, No. 156
calculated total energy	-6.17	eV per atom

Cell and atoms, written as Quantum ESPRESSO input:
```
&SYSTEM
  ibrav = 0, nat = 3, ntyp = 3
/
ATOMIC_SPECIES
Ca 40.08 Ca.upf
Rh 102.91 Rh.upf
N 14.01 N.upf
CELL_PARAMETERS angstrom
3.2413 0.0000 0.0000
-1.6206 2.8070 0.0000
0.0000 0.0000 5.0237
ATOMIC_POSITIONS crystal
Ca 0.0000 0.0000 0.0000
Rh 0.6667 0.3333 0.4690
N 0.3333 0.6667 0.2884
```

=====

Record 4
Density functional theory data (GGA-PBE) for a geometry-optimized Nd2Dy2Tl structure. Values from VASP.

volume	317	Å³ per cell
spin magnetization	0.0	μB/cell
space-group type	C2/m, No. 12
calculated total energy	-4.29	eV per atom

Cell and atoms, written as Quantum ESPRESSO input:
```
&SYSTEM
  ibrav = 0, nat = 10, ntyp = 3
/
ATOMIC_SPECIES
Nd 144.24 Nd.upf
Dy 162.50 Dy.upf
Tl 204.38 Tl.upf
CELL_PARAMETERS angstrom
4.3084 -4.7522 0.0000
4.3084 4.7522 0.0000
-3.7978 0.0000 7.7366
ATOMIC_POSITIONS crystal
Nd 0.1608 0.1608 0.4258
Nd 0.2789 0.2789 0.8861
Nd 0.7211 0.7211 0.1139
Nd 0.8392 0.8392 0.5742
Dy 0.2442 0.6118 0.2833
Dy 0.3882 0.7558 0.7167
Dy 0.6118 0.2442 0.2833
Dy 0.7558 0.3882 0.7167
Tl 0.1697 0.8303 0.0000
Tl 0.8303 0.1697 0.0000
```

=====

Record 5
Density functional theory data (GGA-PBE) for a geometry-optimized NbFePt2 structure. Values from VASP.

volume	129	Å³ per cell
spin magnetization	0.0	μB/cell
space-group type	I-42d, No. 122
calculated total energy	-7.59	eV per atom

Cell and atoms, written as Quantum ESPRESSO input:
```
&SYSTEM
  ibrav = 0, nat = 8, ntyp = 3
/
ATOMIC_SPECIES
Nb 92.91 Nb.upf
Fe 55.84 Fe.upf
Pt 195.08 Pt.upf
CELL_PARAMETERS angstrom
-1.8818 1.8818 9.0953
1.8818 -1.8818 9.0953
1.8818 1.8818 -9.0953
ATOMIC_POSITIONS crystal
Nb 0.0000 0.0000 0.0000
Nb 0.7500 0.2500 0.5000
Fe 0.2500 0.7500 0.5000
Fe 0.5000 0.5000 0.0000
Pt 0.1388 0.6250 0.0138
Pt 0.3750 0.3888 0.5138
Pt 0.6112 0.1250 0.9862
Pt 0.8750 0.8612 0.4862
```

=====

Record 6
Density functional theory data (GGA-PBE) for a geometry-optimized KCdCo structure. Values from VASP.

volume	76	Å³ per cell
spin magnetization	1.3	μB/cell
space-group type	Imm2, No. 44
calculated total energy	-2.51	eV per atom

Cell and atoms, written as Quantum ESPRESSO input:
```
&SYSTEM
  ibrav = 0, nat = 3, ntyp = 3
/
ATOMIC_SPECIES
K 39.10 K.upf
Cd 112.41 Cd.upf
Co 58.93 Co.upf
CELL_PARAMETERS angstrom
-1.4778 2.1416 6.0352
1.4778 -2.1416 6.0352
1.4778 2.1416 -6.0352
ATOMIC_POSITIONS crystal
K 0.0000 0.0000 0.0000
Cd 0.7230 0.7230 0.0000
Co 0.2724 0.2724 0.0000
```

=====

Record 7
Density functional theory data (GGA-PBE) for a geometry-optimized Ba2YSc structure. Values from VASP.

volume	162	Å³ per cell
spin magnetization	0.9	μB/cell
space-group type	I4/mmm, No. 139
calculated total energy	-3.76	eV per atom

Cell and atoms, written as Quantum ESPRESSO input:
```
&SYSTEM
  ibrav = 0, nat = 4, ntyp = 3
/
ATOMIC_SPECIES
Ba 137.33 Ba.upf
Y 88.91 Y.upf
Sc 44.96 Sc.upf
CELL_PARAMETERS angstrom
-2.6973 2.6973 5.5824
2.6973 -2.6973 5.5824
2.6973 2.6973 -5.5824
ATOMIC_POSITIONS crystal
Ba 0.2500 0.7500 0.5000
Ba 0.7500 0.2500 0.5000
Y 0.0000 0.0000 0.0000
Sc 0.5000 0.5000 0.0000
```

=====

Record 8
Density functional theory data (GGA-PBE) for a geometry-optimized AcPm6Er2Tm structure. Values from VASP.

volume	693	Å³ per cell
spin magnetization	0.0	μB/cell
space-group type	C2/c, No. 15
calculated total energy	-4.50	eV per atom

Cell and atoms, written as Quantum ESPRESSO input:
```
&SYSTEM
  ibrav = 0, nat = 20, ntyp = 4
/
ATOMIC_SPECIES
Ac 227.00 Ac.upf
Pm 145.00 Pm.upf
Er 167.26 Er.upf
Tm 168.93 Tm.upf
CELL_PARAMETERS angstrom
4.6977 -7.6835 0.0000
4.6977 7.6835 0.0000
-0.8806 0.0000 9.5931
ATOMIC_POSITIONS crystal
Ac 0.0294 0.9706 0.7500
Ac 0.9706 0.0294 0.2500
Pm 0.0048 0.5528 0.6841
Pm 0.1243 0.7568 0.0545
Pm 0.2432 0.8757 0.4455
Pm 0.2892 0.5127 0.8835
Pm 0.4472 0.9952 0.8159
Pm 0.4873 0.7108 0.6165
Pm 0.5127 0.2892 0.3835
Pm 0.5528 0.0048 0.1841
Pm 0.7108 0.4873 0.1165
Pm 0.7568 0.1243 0.5545
Pm 0.8757 0.2432 0.9455
Pm 0.9952 0.4472 0.3159
Er 0.2075 0.3163 0.5490
Er 0.3163 0.2075 0.0490
Er 0.6837 0.7925 0.9510
Er 0.7925 0.6837 0.4510
Tm 0.4137 0.5863 0.2500
Tm 0.5863 0.4137 0.7500
```